Below is a geometry-optimized CsRhPb3 structure, with properties calculated at the PBE level.

Cell lengths 5.5076, 5.5076, 5.5076 Å; angles 90.00, 90.00, 90.00 degrees
Sites, in units of the cell vectors:
1 Pb 0.0000 0.0000 0.5000
2 Cs 0.5000 0.5000 0.5000
3 Pb 0.0000 0.5000 0.0000
4 Pb 0.5000 0.0000 0.0000
5 Rh 0.0000 0.0000 0.0000

total magnetic moment: 0.01 μB/cell
E: -3.75 eV per atom
energy relative to the elements: 0.1191 eV/atom
density of states at the Fermi level: 6.98 states/eV per cell
excess energy over the best structure of this formula in the dataset: 0.297 eV/atom
V: 33.41 Å³ per atom

=====

Below is a geometry-optimized KMgH3 structure, with properties calculated at the PBE level.

Cell lengths 4.4317, 4.4317, 4.4317 Å; angles 90.00, 90.00, 90.00 degrees
Sites, in units of the cell vectors:
1 H 0.0000 0.5000 0.0000
2 H 0.0000 0.0000 0.5000
3 H 0.5000 0.0000 0.0000
4 Mg 0.5000 0.5000 0.5000
5 K 0.0000 0.0000 0.0000

total magnetic moment: 0.00 μB/cell
E: -1.76 eV per atom
density of states at the Fermi level: 0.40 states/eV per cell
V: 17.41 Å³ per atom

=====

Below is a geometry-optimized LaCuBr2 structure, with properties calculated at the PBE level.

Cell lengths 3.8626, 3.8622, 6.6600 Å; angles 90.00, 90.00, 90.00 degrees
Sites, in units of the cell vectors:
1 Cu 0.5000 0.5000 0.2500
2 La 0.5000 0.5000 0.7500
3 Br 0.0000 0.0000 0.9942
4 Br 0.0000 0.0000 0.5058

total magnetic moment: 0.00 μB/cell
ΔE_f (raw): -3.01 eV per formula unit
E: -3.85 eV per atom
density of states at the Fermi level: 1.23 states/eV per cell
excess energy over the best structure of this formula in the dataset: 0.223 eV/atom
V: 24.84 Å³ per atom

=====

Below is a geometry-optimized YMoPb2 structure, with properties calculated at the PBE level.

Cell lengths 4.8452, 3.3511, 6.0568 Å; angles 81.54, 90.00, 90.00 degrees
Sites, in units of the cell vectors:
1 Pb 0.0000 0.9097 0.9878
2 Y 0.5000 0.2500 0.2500
3 Mo 0.5000 0.7500 0.7500
4 Pb 0.0000 0.5903 0.5122

total magnetic moment: 0.00 μB/cell
E: -5.90 eV per atom
energy relative to the elements: 0.2790 eV/atom
density of states at the Fermi level: 4.71 states/eV per cell
excess energy over the best structure of this formula in the dataset: 0.080 eV/atom
V: 24.32 Å³ per atom